Record 1
# Cu2GeSe3, relaxed, DFT PBEsol
data_Cu2GeSe3
_symmetry_space_group_name_H-M 'I m m 2'
_symmetry_Int_Tables_number 44
_cell_length_a 3.971
_cell_length_b 11.652
_cell_length_c 5.479
_cell_angle_alpha 90.00
_cell_angle_beta 90.00
_cell_angle_gamma 90.00
loop_
_symmetry_equiv_pos_as_xyz
'x,y,z'
'-x,-y,z'
'-x,y,z'
'x,-y,z'
'x+1/2,y+1/2,z+1/2'
'-x+1/2,-y+1/2,z+1/2'
'-x+1/2,y+1/2,z+1/2'
'x+1/2,-y+1/2,z+1/2'
loop_
_atom_site_label
_atom_site_type_symbol
_atom_site_fract_x
_atom_site_fract_y
_atom_site_fract_z
Cu1 Cu 0.000 0.167 0.000
Ge1 Ge 0.000 0.500 0.028
Se1 Se 0.000 0.000 0.251
Se2 Se 0.000 0.328 0.266
# Energy above the lowest structure with this stoichiometry: 0.000 eV per atom
# DOS(E_F): 1.98 states/eV/cell



Record 2
# Cu2GeSe3, relaxed, DFT PBEsol
data_Cu2GeSe3
_symmetry_space_group_name_H-M 'F d d 2'
_symmetry_Int_Tables_number 43
_symmetry_space_group_name_Hall 'F 2 -2d'
_cell_length_a 7.820
_cell_length_b 23.478
_cell_length_c 11.035
_cell_angle_alpha 90.00
_cell_angle_beta 90.00
_cell_angle_gamma 90.00
loop_
_atom_site_label
_atom_site_type_symbol
_atom_site_fract_x
_atom_site_fract_y
_atom_site_fract_z
Cu1 Cu 0.000 0.000 0.000
Cu2 Cu 0.000 0.000 0.494
Cu3 Cu 0.008 0.332 0.501
Ge1 Ge 0.015 0.168 0.500
Se1 Se 0.003 0.250 0.127
Se2 Se 0.005 0.419 0.128
Se3 Se 0.006 0.084 0.117
# Energy above the lowest structure with this stoichiometry: 0.003 eV per atom
# DOS(E_F): 6.83 states/eV/cell



Record 3
# Cu2GeSe4, relaxed, DFT PBEsol
data_Cu2GeSe4
_symmetry_space_group_name_H-M 'I -4 2 m'
_symmetry_Int_Tables_number 121
_symmetry_space_group_name_Hall 'I -4 2'
_cell_length_a 5.298
_cell_length_b 5.298
_cell_length_c 10.665
_cell_angle_alpha 90.00
_cell_angle_beta 90.00
_cell_angle_gamma 90.00
loop_
_atom_site_label
_atom_site_type_symbol
_atom_site_fract_x
_atom_site_fract_y
_atom_site_fract_z
Cu1 Cu 0.000 0.500 0.250
Ge1 Ge 0.000 0.000 0.000
Se1 Se 0.228 0.228 0.618
# Energy: -4.2938 eV/atom
# DOS(E_F): 10.28 states/eV/cell



Record 4
# Sm3CuGeSe7, relaxed, DFT PBEsol
data_Sm3CuGeSe7
_symmetry_space_group_name_H-M 'P 63'
_symmetry_Int_Tables_number 173
_cell_length_a 10.3670
_cell_length_b 10.3670
_cell_length_c 5.9915
_cell_angle_alpha 90.00
_cell_angle_beta 90.00
_cell_angle_gamma 120.00
loop_
_symmetry_equiv_pos_as_xyz
'x,y,z'
'x-y,x,z+1/2'
'-y,x-y,z'
'-x,-y,z+1/2'
'-x+y,-x,z'
'y,-x+y,z+1/2'
loop_
_atom_site_label
_atom_site_type_symbol
_atom_site_fract_x
_atom_site_fract_y
_atom_site_fract_z
Sm1 Sm 0.1309 0.7756 0.0000
Cu1 Cu 0.0000 0.0000 0.0292
Ge1 Ge 0.3333 0.6667 0.4171
Se1 Se 0.0939 0.5163 0.2541
Se2 Se 0.0965 0.8372 0.5173
Se3 Se 0.3333 0.6667 0.8060
# Energy: -5.6093 eV/atom



Record 5
# CuSiTcGe2, relaxed, DFT PBEsol
data_CuSiTcGe2
_symmetry_space_group_name_H-M 'P 4/m m m'
_symmetry_Int_Tables_number 123
_symmetry_space_group_name_Hall '-P 4 2'
_cell_length_a 4.552
_cell_length_b 4.552
_cell_length_c 4.312
_cell_angle_alpha 90.00
_cell_angle_beta 90.00
_cell_angle_gamma 90.00
loop_
_atom_site_label
_atom_site_type_symbol
_atom_site_fract_x
_atom_site_fract_y
_atom_site_fract_z
Cu1 Cu 0.000 0.000 0.000
Si1 Si 0.000 0.000 0.500
Tc1 Tc 0.500 0.500 0.500
Ge1 Ge 0.000 0.500 0.000
# Energy: -5.1457 eV/atom
# DOS(E_F): 3.90 states/eV/cell



Record 6
# Sm3Cu4Ge4, relaxed, DFT PBEsol
data_Sm3Cu4Ge4
_symmetry_space_group_name_H-M 'I m m m'
_symmetry_Int_Tables_number 71
_symmetry_space_group_name_Hall '-I 2 2'
_cell_length_a 4.219
_cell_length_b 6.596
_cell_length_c 13.947
_cell_angle_alpha 90.00
_cell_angle_beta 90.00
_cell_angle_gamma 90.00
loop_
_atom_site_label
_atom_site_type_symbol
_atom_site_fract_x
_atom_site_fract_y
_atom_site_fract_z
Sm1 Sm 0.000 0.000 0.000
Sm2 Sm 0.000 0.500 0.132
Cu1 Cu 0.000 0.312 0.333
Ge1 Ge 0.000 0.000 0.216
Ge2 Ge 0.000 0.190 0.500
# DOS(E_F): 5.22 states/eV/cell
# Formation enthalpy at 0 K: -7.3 eV per formula unit



Record 7
# SmCuGe, relaxed, DFT PBEsol
data_SmCuGe
_symmetry_space_group_name_H-M 'P -6 m 2'
_symmetry_Int_Tables_number 187
_symmetry_space_group_name_Hall 'P -6 2'
_cell_length_a 4.1600
_cell_length_b 4.1600
_cell_length_c 3.8956
_cell_angle_alpha 90.00
_cell_angle_beta 90.00
_cell_angle_gamma 120.00
loop_
_atom_site_label
_atom_site_type_symbol
_atom_site_fract_x
_atom_site_fract_y
_atom_site_fract_z
Sm1 Sm 0.0000 0.0000 0.0000
Cu1 Cu 0.6667 0.3333 0.5000
Ge1 Ge 0.3333 0.6667 0.5000
# DOS(E_F): 2.28 states/eV/cell
# Formation enthalpy at 0 K: -2.0 eV per formula unit



Record 8
# SmCu2Ge2, relaxed, DFT PBEsol
data_SmCu2Ge2
_symmetry_space_group_name_H-M 'I 4/m m m'
_symmetry_Int_Tables_number 139
_symmetry_space_group_name_Hall '-I 4 2'
_cell_length_a 4.059
_cell_length_b 4.059
_cell_length_c 10.101
_cell_angle_alpha 90.00
_cell_angle_beta 90.00
_cell_angle_gamma 90.00
loop_
_atom_site_label
_atom_site_type_symbol
_atom_site_fract_x
_atom_site_fract_y
_atom_site_fract_z
Sm1 Sm 0.000 0.000 0.000
Cu1 Cu 0.000 0.500 0.250
Ge1 Ge 0.000 0.000 0.378
# DOS(E_F): 2.45 states/eV/cell
# Formation enthalpy at 0 K: -2.9 eV per formula unit